*one*
Density functional theory data (GGA-PBE) for a geometry-optimized PrErTe structure.

Calculated values
Its symmetry is No. 12.

CIF file:
```
data_PrErTe
_chemical_formula_sum 'Pr2 Er2 Te2'
_cell_length_a 5.179
_cell_length_b 5.179
_cell_length_c 7.171
_cell_angle_alpha 90.07
_cell_angle_beta 90.07
_cell_angle_gamma 89.97
_symmetry_space_group_name_H-M 'P 1'
_symmetry_Int_Tables_number 1
_symmetry_space_group_name_Hall 'P 1'
loop_
_atom_site_label
_atom_site_type_symbol
_atom_site_fract_x
_atom_site_fract_y
_atom_site_fract_z
Pr1 Pr 0.250 0.750 0.000
Pr2 Pr 0.750 0.250 0.000
Er1 Er 0.250 0.750 0.500
Er2 Er 0.750 0.250 0.500
Te1 Te 0.250 0.250 0.278
Te2 Te 0.750 0.750 0.722
```

*two*
Density functional theory data (GGA-PBE) for a geometry-optimized PrErTe structure.

Calculated values
Its symmetry is No. 107.

CIF file:
```
data_PrErTe
_chemical_formula_sum 'Pr1 Er1 Te1'
_cell_length_a 6.528
_cell_length_b 6.528
_cell_length_c 6.528
_cell_angle_alpha 144.92
_cell_angle_beta 144.92
_cell_angle_gamma 50.45
_symmetry_space_group_name_H-M 'P 1'
_symmetry_Int_Tables_number 1
_symmetry_space_group_name_Hall 'P 1'
loop_
_atom_site_label
_atom_site_type_symbol
_atom_site_fract_x
_atom_site_fract_y
_atom_site_fract_z
Pr1 Pr 0.000 0.000 0.000
Er1 Er 0.310 0.310 0.000
Te1 Te 0.675 0.675 0.000
```

Which structure is most stable? *two*, by 210 meV/atom over the runner-up.

*one*
Density functional theory data (GGA-PBE) for a geometry-optimized PrEr2Te3 structure.

Calculated values
Its symmetry is No. 71.

CIF file:
```
data_PrEr2Te3
_chemical_formula_sum 'Pr1 Er2 Te3'
_cell_length_a 7.644
_cell_length_b 7.644
_cell_length_c 7.644
_cell_angle_alpha 146.77
_cell_angle_beta 132.20
_cell_angle_gamma 59.46
_symmetry_space_group_name_H-M 'P 1'
_symmetry_Int_Tables_number 1
_symmetry_space_group_name_Hall 'P 1'
loop_
_atom_site_label
_atom_site_type_symbol
_atom_site_fract_x
_atom_site_fract_y
_atom_site_fract_z
Pr1 Pr 0.000 0.000 0.000
Er1 Er 0.343 0.343 0.000
Er2 Er 0.657 0.657 0.000
Te1 Te 0.179 0.679 0.500
Te2 Te 0.500 0.000 0.500
Te3 Te 0.821 0.321 0.500
```

*two*
Density functional theory data (GGA-PBE) for a geometry-optimized PrEr2Te3 structure.

Calculated values
Its symmetry is No. 63.

CIF file:
```
data_PrEr2Te3
_chemical_formula_sum 'Pr2 Er4 Te6'
_cell_length_a 7.862
_cell_length_b 7.862
_cell_length_c 10.700
_cell_angle_alpha 90.00
_cell_angle_beta 90.00
_cell_angle_gamma 146.66
_symmetry_space_group_name_H-M 'P 1'
_symmetry_Int_Tables_number 1
_symmetry_space_group_name_Hall 'P 1'
loop_
_atom_site_label
_atom_site_type_symbol
_atom_site_fract_x
_atom_site_fract_y
_atom_site_fract_z
Pr1 Pr 0.206 0.794 0.750
Pr2 Pr 0.794 0.206 0.250
Er1 Er 0.000 0.000 0.000
Er2 Er 0.000 0.000 0.500
Er3 Er 0.490 0.510 0.750
Er4 Er 0.510 0.490 0.250
Te1 Te 0.135 0.865 0.250
Te2 Te 0.363 0.637 0.050
Te3 Te 0.363 0.637 0.450
Te4 Te 0.637 0.363 0.550
Te5 Te 0.637 0.363 0.950
Te6 Te 0.865 0.135 0.750
```

Which structure is most stable? *one*, by 126 meV/atom over the runner-up.

*one*
Density functional theory data (GGA-PBE) for a geometry-optimized Pr2ErTe3 structure.

Calculated values
Its symmetry is No. 70.

CIF file:
```
data_Pr2ErTe3
_chemical_formula_sum 'Pr8 Er4 Te12'
_cell_length_a 14.625
_cell_length_b 13.955
_cell_length_c 7.761
_cell_angle_alpha 79.07
_cell_angle_beta 69.53
_cell_angle_gamma 31.40
_symmetry_space_group_name_H-M 'P 1'
_symmetry_Int_Tables_number 1
_symmetry_space_group_name_Hall 'P 1'
loop_
_atom_site_label
_atom_site_type_symbol
_atom_site_fract_x
_atom_site_fract_y
_atom_site_fract_z
Pr1 Pr 0.047 0.047 0.203
Pr2 Pr 0.123 0.123 0.627
Pr3 Pr 0.203 0.203 0.047
Pr4 Pr 0.373 0.373 0.877
Pr5 Pr 0.627 0.627 0.123
Pr6 Pr 0.797 0.797 0.953
Pr7 Pr 0.877 0.877 0.373
Pr8 Pr 0.953 0.953 0.797
Er1 Er 0.293 0.293 0.457
Er2 Er 0.457 0.457 0.293
Er3 Er 0.543 0.543 0.707
Er4 Er 0.707 0.707 0.543
Te1 Te 0.038 0.539 0.224
Te2 Te 0.142 0.608 0.608
Te3 Te 0.224 0.699 0.038
Te4 Te 0.301 0.776 0.461
Te5 Te 0.392 0.858 0.858
Te6 Te 0.461 0.962 0.301
Te7 Te 0.539 0.038 0.699
Te8 Te 0.608 0.142 0.142
Te9 Te 0.699 0.224 0.539
Te10 Te 0.776 0.301 0.962
Te11 Te 0.858 0.392 0.392
Te12 Te 0.962 0.461 0.776
```

*two*
Density functional theory data (GGA-PBE) for a geometry-optimized Pr2ErTe3 structure.

Calculated values
Its symmetry is No. 71.

CIF file:
```
data_Pr2ErTe3
_chemical_formula_sum 'Pr2 Er1 Te3'
_cell_length_a 9.369
_cell_length_b 9.369
_cell_length_c 9.369
_cell_angle_alpha 154.97
_cell_angle_beta 145.32
_cell_angle_gamma 43.25
_symmetry_space_group_name_H-M 'P 1'
_symmetry_Int_Tables_number 1
_symmetry_space_group_name_Hall 'P 1'
loop_
_atom_site_label
_atom_site_type_symbol
_atom_site_fract_x
_atom_site_fract_y
_atom_site_fract_z
Pr1 Pr 0.145 0.145 0.000
Pr2 Pr 0.855 0.855 0.000
Er1 Er 0.500 0.500 0.000
Te1 Te 0.000 0.500 0.500
Te2 Te 0.328 0.328 0.000
Te3 Te 0.672 0.672 0.000
```

Which structure is most stable? *one*, by 248 meV/atom over the runner-up.

*one*
Density functional theory data (GGA-PBE) for a geometry-optimized PrEr4Te5 structure.

Calculated values
Its symmetry is No. 139.

CIF file:
```
data_PrEr4Te5
_chemical_formula_sum 'Pr1 Er4 Te5'
_cell_length_a 15.946
_cell_length_b 15.946
_cell_length_c 15.946
_cell_angle_alpha 164.37
_cell_angle_beta 164.37
_cell_angle_gamma 22.17
_symmetry_space_group_name_H-M 'P 1'
_symmetry_Int_Tables_number 1
_symmetry_space_group_name_Hall 'P 1'
loop_
_atom_site_label
_atom_site_type_symbol
_atom_site_fract_x
_atom_site_fract_y
_atom_site_fract_z
Pr1 Pr 0.000 0.000 0.000
Er1 Er 0.209 0.209 0.000
Er2 Er 0.406 0.406 0.000
Er3 Er 0.594 0.594 0.000
Er4 Er 0.791 0.791 0.000
Te1 Te 0.106 0.106 0.000
Te2 Te 0.306 0.306 0.000
Te3 Te 0.500 0.500 0.000
Te4 Te 0.694 0.694 0.000
Te5 Te 0.894 0.894 0.000
```

*two*
Density functional theory data (GGA-PBE) for a geometry-optimized PrEr4Te5 structure.

Calculated values
Its symmetry is No. 12.

CIF file:
```
data_PrEr4Te5
_chemical_formula_sum 'Pr1 Er4 Te5'
_cell_length_a 7.599
_cell_length_b 7.599
_cell_length_c 10.673
_cell_angle_alpha 118.33
_cell_angle_beta 118.33
_cell_angle_gamma 33.24
_symmetry_space_group_name_H-M 'P 1'
_symmetry_Int_Tables_number 1
_symmetry_space_group_name_Hall 'P 1'
loop_
_atom_site_label
_atom_site_type_symbol
_atom_site_fract_x
_atom_site_fract_y
_atom_site_fract_z
Pr1 Pr 0.000 0.000 0.000
Er1 Er 0.208 0.208 0.800
Er2 Er 0.404 0.404 0.610
Er3 Er 0.596 0.596 0.390
Er4 Er 0.792 0.792 0.200
Te1 Te 0.000 0.000 0.500
Te2 Te 0.206 0.206 0.313
Te3 Te 0.392 0.392 0.106
Te4 Te 0.608 0.608 0.894
Te5 Te 0.794 0.794 0.687
```

Which structure is most stable? *two*, by 8 meV/atom over the runner-up.

*one*
Density functional theory data (GGA-PBE) for a geometry-optimized PrErTe3 structure.

Calculated values
Its symmetry is No. 63.

CIF file:
```
data_PrErTe3
_chemical_formula_sum 'Pr2 Er2 Te6'
_cell_length_a 7.436
_cell_length_b 7.436
_cell_length_c 10.811
_cell_angle_alpha 90.00
_cell_angle_beta 90.00
_cell_angle_gamma 146.18
_symmetry_space_group_name_H-M 'P 1'
_symmetry_Int_Tables_number 1
_symmetry_space_group_name_Hall 'P 1'
loop_
_atom_site_label
_atom_site_type_symbol
_atom_site_fract_x
_atom_site_fract_y
_atom_site_fract_z
Pr1 Pr 0.250 0.750 0.750
Pr2 Pr 0.750 0.250 0.250
Er1 Er 0.000 0.000 0.000
Er2 Er 0.000 0.000 0.500
Te1 Te 0.088 0.912 0.250
Te2 Te 0.354 0.646 0.061
Te3 Te 0.354 0.646 0.439
Te4 Te 0.646 0.354 0.561
Te5 Te 0.646 0.354 0.939
Te6 Te 0.912 0.088 0.750
```

*two*
Density functional theory data (GGA-PBE) for a geometry-optimized PrErTe3 structure.

Calculated values
Its symmetry is No. 62.

CIF file:
```
data_PrErTe3
_chemical_formula_sum 'Pr4 Er4 Te12'
_cell_length_a 8.292
_cell_length_b 4.421
_cell_length_c 17.409
_cell_angle_alpha 90.00
_cell_angle_beta 90.00
_cell_angle_gamma 90.00
_symmetry_space_group_name_H-M 'P 1'
_symmetry_Int_Tables_number 1
_symmetry_space_group_name_Hall 'P 1'
loop_
_atom_site_label
_atom_site_type_symbol
_atom_site_fract_x
_atom_site_fract_y
_atom_site_fract_z
Pr1 Pr 0.136 0.250 0.200
Pr2 Pr 0.364 0.750 0.700
Pr3 Pr 0.636 0.250 0.300
Pr4 Pr 0.864 0.750 0.800
Er1 Er 0.227 0.750 0.458
Er2 Er 0.273 0.250 0.958
Er3 Er 0.727 0.750 0.042
Er4 Er 0.773 0.250 0.542
Te1 Te 0.006 0.250 0.395
Te2 Te 0.119 0.750 0.062
Te3 Te 0.156 0.250 0.787
Te4 Te 0.344 0.750 0.287
Te5 Te 0.381 0.250 0.562
Te6 Te 0.494 0.750 0.895
Te7 Te 0.506 0.250 0.105
Te8 Te 0.619 0.750 0.438
Te9 Te 0.656 0.250 0.713
Te10 Te 0.844 0.750 0.213
Te11 Te 0.881 0.250 0.938
Te12 Te 0.994 0.750 0.605
```

Which structure is most stable? *one*, by 10 meV/atom over the runner-up.